Tb2DyHo5Tm (PBE, optimized geometry); energy of formation from the pure elements = 0.154 eV per atom; symmetry = No. 36; N(E_F) = 1.5085 states/eV per atom
1.0
2.7732 -9.8326 0.0000
2.7732 9.8326 0.0000
0.0000 0.0000 10.4970
Tb Dy Ho Tm
4 2 10 2
direct
0.1109 0.8891 0.5000
0.1133 0.8867 0.0815
0.8867 0.1133 0.5815
0.8891 0.1109 0.0000
0.4130 0.5870 0.2219
0.5870 0.4130 0.7219
0.0183 0.9817 0.7865
0.2811 0.7189 0.0743
0.2999 0.7001 0.4725
0.3871 0.6129 0.7857
0.4800 0.5200 0.5032
0.5200 0.4800 0.0032
0.6129 0.3871 0.2857
0.7001 0.2999 0.9725
0.7189 0.2811 0.5743
0.9817 0.0183 0.2865
0.1997 0.8003 0.7754
0.8003 0.1997 0.2754